NbAg2Pb | PBE | optimized geometry

Values from the calculation:
Space-group type   I-42d (122)

Lattice parameters (Å, degrees): 6.2231 6.2231 6.2231 102.41 102.41 124.76
Closest atoms and distances in Å follow each position.
Positions (direct):
Nb 0.0000 0.0000 0.0000  4 Ag 2.81, 2 Pb 2.89
Nb 0.7500 0.2500 0.5000  4 Ag 2.81, 2 Pb 2.89
Ag 0.1170 0.6250 0.9920  2 Nb 2.81, 2 Ag 2.89, 2 Pb 2.89
Ag 0.3750 0.3670 0.4920  2 Nb 2.81, 2 Ag 2.89, 2 Pb 2.89
Ag 0.6330 0.1250 0.0080  2 Nb 2.81, 2 Ag 2.89, 2 Pb 2.89
Ag 0.8750 0.8830 0.5080  2 Nb 2.81, 2 Ag 2.89, 2 Pb 2.89
Pb 0.2500 0.7500 0.5000  2 Nb 2.89, 4 Ag 2.89
Pb 0.5000 0.5000 0.0000  2 Nb 2.89, 4 Ag 2.89

NbAgPb3 | PBE | optimized geometry

Values from the calculation:
Energy above the most stable polymorph in this dataset   583 meV/atom
Space-group type   Pm-3m (221)

Lattice parameters (Å, degrees): 5.3793 5.3793 5.3793 90.00 90.00 90.00
Closest atoms and distances in Å follow each position.
Positions (direct):
Nb 0.0000 0.0000 0.0000  12 Pb 3.80
Ag 0.5000 0.5000 0.5000  6 Pb 2.69
Pb 0.0000 0.5000 0.5000  2 Ag 2.69
Pb 0.5000 0.0000 0.5000  2 Ag 2.69
Pb 0.5000 0.5000 0.0000  2 Ag 2.69

In eV/atom, the energy of formation from the pure elements values for the records above are, in order, 0.615, 1.190.
In eV per atom, the E_tot values for the records above are, in order, -4.256, -3.619.